The following is a DFT calculation (PBE) of an optimized crystal structure of Nd6MgGa.

* V: 498 Å³ per cell
* energy relative to the elements: -0.144 eV per atom

Cell lengths 5.221, 5.221, 18.283 Å; angles 90.00, 90.00, 90.00 degrees
Space group I4/mmm (No. 139)
Asymmetric unit:
Nd (0.000, 0.000, 0.249) x4
Nd (0.000, 0.500, 0.108) x8
Mg (0.000, 0.000, 0.000) x2
Ga (0.000, 0.000, 0.500) x2